Record 1
This record from Alexandria describes a relaxed structure of PmErHg. The functional is PBE.

The formation energy is -0.30 eV per atom. The crystal system is tetragonal. Its total energy is -3.507 eV per atom.

It has space group I4mm (No. 107), with a = 3.6525 Å, b = 3.6525 Å, c = 12.8653 Å, α = 90.00°, β = 90.00° and γ = 90.00°. The inequivalent atoms are Pm at (0.0000, 0.0000, 0.0000), Er at (0.0000, 0.0000, 0.3078) and Hg at (0.0000, 0.0000, 0.6666).



Record 2
This record from Alexandria describes a relaxed structure of Dy2InSe4. The functional is PBE.

The crystal system is monoclinic. For the formation energy (no corrections), the calculation gives -1397 meV/atom. Its total energy is -5.095 eV per atom.

It has space group C2/m (No. 12), with a = 15.3045 Å, b = 4.1152 Å, c = 7.2435 Å, α = 90.00°, β = 116.06° and γ = 90.00°. The inequivalent atoms are Dy at (0.2333, 0.0000, 0.2209), In at (0.0000, 0.5000, 0.5000), Se at (0.1274, 0.5000, 0.9504) and Se at (0.1416, 0.0000, 0.4923).



Record 3
This record from Alexandria describes a relaxed structure of Re2SeBr. The functional is PBE.

The crystal system is orthorhombic. For the formation energy (no corrections), the calculation gives 687 meV/atom. Its total energy is -6.826 eV per atom.

It has space group Cmm2 (No. 35), with a = 3.0251 Å, b = 5.0322 Å, c = 10.2745 Å, α = 90.00°, β = 90.00° and γ = 90.00°. The inequivalent atoms are Re at (0.0000, 0.0000, 0.0000), Re at (0.0000, 0.5000, 0.1943), Se at (0.0000, 0.0000, 0.4086) and Br at (0.0000, 0.5000, 0.7615).



Record 4
This record from Alexandria describes a relaxed structure of K2CrAs. The functional is PBE.

The formation energy is 0.08 eV per atom. The crystal system is tetragonal. Its total energy is -4.032 eV per atom.

It has space group P4mm (No. 99), with a = 3.6415 Å, b = 3.6415 Å, c = 10.0501 Å, α = 90.00°, β = 90.00° and γ = 90.00°. The inequivalent atoms are K at (0.0000, 0.0000, 0.0000), K at (0.5000, 0.5000, 0.4033), Cr at (0.5000, 0.5000, 0.7194) and As at (0.0000, 0.0000, 0.6631).



Record 5
This record from Alexandria describes a relaxed structure of BaErCd17. The functional is PBE.

The formation energy is -0.13 eV per atom. The crystal system is trigonal. Its total energy is -1.293 eV per atom.

It has space group R3m (No. 160, hexagonal axes), with a = 10.2030 Å, b = 10.2030 Å, c = 15.1663 Å, α = 90.00°, β = 90.00° and γ = 120.00°. The inequivalent atoms are Ba at (0.0000, 0.0000, 0.0000), Er at (0.0000, 0.0000, 0.6623), Cd at (0.0000, 0.0000, 0.2455), Cd at (0.0000, 0.0000, 0.4433), Cd at (0.0044, 0.2992, 0.3349), Cd at (0.0170, 0.5085, 0.1931), Cd at (0.0263, 0.5132, 0.8298) and Cd at (0.0512, 0.5256, 0.4812).



Record 6
This record from Alexandria describes a relaxed structure of SrCeSbO2. The functional is PBE.

The crystal system is tetragonal. For the formation energy (no corrections), the calculation gives -2434 meV/atom. Its total energy is -6.765 eV per atom.

It has space group I4mm (No. 107), with a = 3.9814 Å, b = 3.9814 Å, c = 14.0301 Å, α = 90.00°, β = 90.00° and γ = 90.00°. The inequivalent atoms are Sr at (0.0000, 0.0000, 0.0000), Ce at (0.0000, 0.0000, 0.3266), Sb at (0.0000, 0.0000, 0.6665) and O at (0.0000, 0.5000, 0.3963).



Record 7
This record from Alexandria describes a relaxed structure of TbPmHoIn. The functional is PBE.

The formation energy is -0.14 eV per atom. The crystal system is cubic. Its total energy is -4.316 eV per atom.

It has space group F-43m (No. 216), with a = 7.7690 Å, b = 7.7690 Å, c = 7.7690 Å, α = 90.00°, β = 90.00° and γ = 90.00°. The inequivalent atoms are Tb at (0.0000, 0.0000, 0.0000), Pm at (0.0000, 0.0000, 0.5000), Ho at (0.2500, 0.2500, 0.2500) and In at (0.2500, 0.2500, 0.7500).



Record 8
This record from Alexandria describes a relaxed structure of Cu2ReAu. The functional is PBE.

The formation energy is 0.91 eV per atom. The crystal system is tetragonal. Its total energy is -5.066 eV per atom.

It has space group I-42d (No. 122), with a = 6.8455 Å, b = 6.8455 Å, c = 5.3512 Å, α = 90.00°, β = 90.00° and γ = 90.00°. The inequivalent atoms are Cu at (0.2418, 0.2500, 0.1250), Re at (0.0000, 0.0000, 0.0000) and Au at (0.0000, 0.0000, 0.5000).